--- P ---
LaHoErZn: relaxed, PBE-GGA.

Properties
symmetry = No. 99
DOS(E_F) = 1.280 states/eV per atom
calculated volume = 28.26 Å³ per atom

Unit cell a=3.579 b=3.579 c=8.827 alpha=90.00 beta=90.00 gamma=90.00
Positions (direct):
La 0.000 0.000 0.072
Ho 0.500 0.500 0.768
Er 0.500 0.500 0.375
Zn 0.000 0.000 0.570



--- Q ---
LaHoErZn: relaxed, PBE-GGA.

Properties
symmetry = No. 216
DOS(E_F) = 1.276 states/eV per atom
calculated volume = 28.03 Å³ per atom

Unit cell a=5.412 b=5.412 c=5.412 alpha=60.00 beta=60.00 gamma=60.00
Positions (direct):
Zn 0.000 0.000 0.000
La 0.250 0.250 0.250
Ho 0.750 0.750 0.750
Er 0.500 0.500 0.500



Winner for stability: P



--- P ---
LiHoEr2: relaxed, PBE-GGA.

Properties
symmetry = No. 123
DOS(E_F) = 1.163 states/eV per atom
calculated volume = 28.35 Å³ per atom

Unit cell a=3.741 b=5.505 c=5.505 alpha=90.00 beta=90.00 gamma=90.00
Positions (direct):
Li 0.500 0.000 0.000
Ho 0.500 0.500 0.500
Er 0.000 0.000 0.500
Er 0.000 0.500 0.000



--- Q ---
LiHoEr2: relaxed, PBE-GGA.

Properties
symmetry = No. 123
DOS(E_F) = 1.149 states/eV per atom
calculated volume = 27.82 Å³ per atom

Unit cell a=3.567 b=3.567 c=8.744 alpha=90.00 beta=90.00 gamma=90.00
Positions (direct):
Li 0.500 0.500 0.000
Ho 0.500 0.500 0.500
Er 0.000 0.000 0.777
Er 0.000 0.000 0.223



--- R ---
LiHoEr2: relaxed, PBE-GGA.

Properties
symmetry = No. 160
DOS(E_F) = 0.963 states/eV per atom
calculated volume = 28.84 Å³ per atom

Unit cell a=3.467 b=3.467 c=11.262 alpha=81.15 beta=81.15 gamma=60.00
Positions (direct):
Li 0.500 0.500 0.499
Ho 0.667 0.667 0.000
Er 0.085 0.085 0.745
Er 0.248 0.248 0.256



Winner for stability: Q



--- P ---
HoEr2Lu: relaxed, PBE-GGA.

Properties
symmetry = No. 123
DOS(E_F) = 1.456 states/eV per atom
calculated volume = 30.06 Å³ per atom

Unit cell a=4.937 b=4.935 c=4.935 alpha=90.00 beta=90.00 gamma=90.00
Positions (direct):
Lu 0.500 0.000 0.000
Ho 0.500 0.500 0.500
Er 0.000 0.000 0.500
Er 0.000 0.500 0.000



--- Q ---
HoEr2Lu: relaxed, PBE-GGA.

Properties
symmetry = No. 225
DOS(E_F) = 2.495 states/eV per atom
calculated volume = 30.65 Å³ per atom

Unit cell a=5.576 b=5.576 c=5.576 alpha=60.00 beta=60.00 gamma=60.00
Positions (direct):
Lu 0.500 0.500 0.500
Ho 0.000 0.000 0.000
Er 0.250 0.250 0.250
Er 0.750 0.750 0.750



Winner for stability: P



--- P ---
Ho3Er6Mg: relaxed, PBE-GGA.

Properties
symmetry = No. 36
DOS(E_F) = 1.258 states/eV per atom
calculated volume = 30.44 Å³ per atom

Unit cell a=8.866 b=8.764 c=8.764 alpha=116.63 beta=90.00 gamma=90.00
Positions (direct):
Ho 0.434 0.968 0.678
Ho 0.934 0.678 0.968
Ho 0.416 0.540 0.460
Ho 0.916 0.460 0.540
Ho 0.934 0.032 0.322
Ho 0.434 0.322 0.032
Er 0.100 0.838 0.709
Er 0.600 0.709 0.838
Er 0.270 0.523 0.827
Er 0.770 0.827 0.523
Er 0.285 0.938 0.062
Er 0.659 0.291 0.709
Er 0.159 0.709 0.291
Er 0.785 0.062 0.938
Er 0.270 0.173 0.477
Er 0.770 0.477 0.173
Er 0.100 0.291 0.162
Er 0.600 0.162 0.291
Mg 0.018 0.231 0.769
Mg 0.518 0.769 0.231



--- Q ---
Ho3Er6Mg: relaxed, PBE-GGA.

Properties
symmetry = No. 11
DOS(E_F) = 1.347 states/eV per atom
calculated volume = 30.08 Å³ per atom

Unit cell a=4.953 b=10.996 c=11.049 alpha=90.25 beta=90.00 gamma=90.00
Positions (direct):
Ho 0.250 0.551 0.400
Ho 0.750 0.449 0.600
Ho 0.250 0.348 0.797
Ho 0.750 0.652 0.203
Ho 0.250 0.752 0.003
Ho 0.750 0.248 0.997
Er 0.250 0.449 0.102
Er 0.750 0.551 0.898
Er 0.250 0.150 0.198
Er 0.750 0.850 0.802
Er 0.250 0.652 0.700
Er 0.750 0.348 0.300
Er 0.250 0.246 0.499
Er 0.750 0.754 0.501
Er 0.250 0.852 0.304
Er 0.750 0.148 0.696
Er 0.250 0.049 0.900
Er 0.750 0.951 0.100
Mg 0.250 0.952 0.599
Mg 0.750 0.048 0.401



Winner for stability: Q



--- P ---
HoEr2Mg4: relaxed, PBE-GGA.

Properties
symmetry = No. 65
DOS(E_F) = 0.756 states/eV per atom
calculated volume = 29.66 Å³ per atom

Unit cell a=5.409 b=5.939 c=7.112 alpha=114.68 beta=90.00 gamma=90.00
Positions (direct):
Ho 0.000 0.500 0.000
Er 0.500 0.131 0.262
Er 0.500 0.869 0.738
Mg 0.500 0.619 0.239
Mg 0.000 0.744 0.488
Mg 0.500 0.381 0.761
Mg 0.000 0.256 0.512



--- Q ---
HoEr2Mg4: relaxed, PBE-GGA.

Properties
symmetry = No. 139
DOS(E_F) = 0.910 states/eV per atom
calculated volume = 29.36 Å³ per atom

Unit cell a=5.367 b=5.367 c=8.081 alpha=109.40 beta=109.40 gamma=90.00
Positions (direct):
Ho 0.000 0.000 0.000
Er 0.751 0.751 0.501
Er 0.249 0.249 0.499
Mg 0.382 0.882 0.765
Mg 0.882 0.382 0.765
Mg 0.618 0.118 0.235
Mg 0.118 0.618 0.235



Winner for stability: Q



--- P ---
HoEr4Mg7: relaxed, PBE-GGA.

Properties
symmetry = No. 164
DOS(E_F) = 1.025 states/eV per atom
calculated volume = 26.38 Å³ per atom

Unit cell a=5.277 b=5.277 c=13.125 alpha=90.00 beta=90.00 gamma=120.00
Positions (direct):
Ho 0.000 0.000 0.500
Er 0.333 0.667 0.922
Er 0.667 0.333 0.078
Er 0.333 0.667 0.661
Er 0.667 0.333 0.339
Mg 0.000 0.000 0.000
Mg 0.333 0.667 0.417
Mg 0.667 0.333 0.583
Mg 0.333 0.667 0.181
Mg 0.667 0.333 0.819
Mg 0.000 0.000 0.762
Mg 0.000 0.000 0.238



--- Q ---
HoEr4Mg7: relaxed, PBE-GGA.

Properties
symmetry = No. 12
DOS(E_F) = 1.059 states/eV per atom
calculated volume = 27.74 Å³ per atom

Unit cell a=5.611 b=10.754 c=6.377 alpha=86.75 beta=63.90 gamma=74.88
Positions (direct):
Ho 0.000 0.000 0.000
Er 0.615 0.222 0.548
Er 0.385 0.778 0.452
Er 0.751 0.679 0.819
Er 0.249 0.321 0.181
Mg 0.779 0.923 0.518
Mg 0.221 0.077 0.482
Mg 0.066 0.677 0.191
Mg 0.934 0.323 0.809
Mg 0.368 0.507 0.758
Mg 0.500 0.000 0.000
Mg 0.632 0.493 0.242



Winner for stability: P